A geometry-optimized La8Nd2Sn3 structure. Source: Alexandria via LeMat-Bulk, functional GGA-PBE.

theoretical density	6311	kg/m3
DFT formation energy	-0.0662	eV/atom
SG	R-3m
volume	35.54	Å³/atom
density of states at the Fermi level	1.5367	states/eV per atom
crystal system	trigonal

Geometry as extended XYZ:
```
13
Lattice="3.3225 1.9182 12.0818 -3.3225 1.9182 12.0818 0.0000 -3.8364 12.0818" Properties=species:S:1:pos:R:3 pbc="T T T"
La 0.0000 0.0000 7.9370
La 0.0000 -1.8911 13.9231
La -1.6377 0.9456 13.9231
La -1.6378 -0.9456 22.3224
La 1.6378 0.9456 13.9231
La 1.6378 -0.9456 22.3224
La 0.0000 1.8911 22.3224
La 0.0000 0.0000 28.3085
Nd 0.0000 0.0000 4.8959
Nd 0.0000 0.0000 31.3496
Sn 0.0000 0.0000 11.1268
Sn 0.0000 0.0000 18.1228
Sn 0.0000 0.0000 25.1188
```

A geometry-optimized LaNd2Sn3 structure. Source: Alexandria via LeMat-Bulk, functional GGA-PBE.

theoretical density	6654	kg/m3
DFT formation energy	-0.6027	eV/atom
SG	Immm
volume	32.59	Å³/atom
density of states at the Fermi level	0.7581	states/eV per atom
crystal system	orthorhombic

Geometry as extended XYZ:
```
6
Lattice="-2.6658 3.2258 5.6848 2.6658 -3.2258 5.6848 2.6658 3.2258 -5.6848" Properties=species:S:1:pos:R:3 pbc="T T T"
La 0.0000 0.0000 0.0000
Nd 0.0000 0.0000 3.8188
Nd 0.0000 0.0000 7.5509
Sn 2.6658 0.0000 2.0222
Sn 0.0000 3.2258 0.0000
Sn 0.0000 3.2258 3.6626
```